# 1
# CaLaTbEr

CaLaTbEr after structural relaxation (PBE, Alexandria via LeMat-Bulk).

Values from the calculation:
Its symmetry is No. 216. The calculation puts the electronic total energy at -3.9025 eV per atom. For the formation energy, the calculation gives 128 meV/atom.

Lattice parameters (Å, degrees): 5.827 5.827 5.827 60.00 60.00 60.00
Element x y z (fractional)
Ca: 0.250 0.250 0.250
La: 0.500 0.500 0.500
Tb: 0.000 0.000 0.000
Er: 0.750 0.750 0.750

***

# 2
# TaCdTe2

TaCdTe2 after structural relaxation (PBE, Alexandria via LeMat-Bulk).

Values from the calculation:
Its symmetry is No. 12. The calculation puts the formation energy without anion corrections at 0.82 eV per formula unit. The calculation puts the electronic total energy at -4.5577 eV per atom.

Lattice parameters (Å, degrees): 5.157 5.157 5.831 80.21 80.21 40.07
Element x y z (fractional)
Cd: 0.750 0.750 0.750
Te: 0.962 0.962 0.033
Te: 0.538 0.538 0.467
Ta: 0.250 0.250 0.250

***

# 3
# Tb3HPb

Tb3HPb after structural relaxation (PBE, Alexandria via LeMat-Bulk).

Values from the calculation:
Its symmetry is No. 11. The calculation puts the electronic total energy at -4.5340 eV per atom.

Lattice parameters (Å, degrees): 3.607 6.630 10.515 98.96 90.00 90.00
Element x y z (fractional)
Tb: 0.750 0.600 0.364
Tb: 0.250 0.400 0.636
Tb: 0.750 0.224 0.900
Tb: 0.250 0.916 0.636
Tb: 0.250 0.776 0.100
Tb: 0.750 0.084 0.364
H: 0.250 0.828 0.324
H: 0.750 0.172 0.676
Pb: 0.250 0.291 0.157
Pb: 0.750 0.709 0.843

***

# 4
# Mn2NiTe4

Mn2NiTe4 after structural relaxation (PBE, Alexandria via LeMat-Bulk).

Values from the calculation:
Its symmetry is No. 227. The calculation puts the formation energy without anion corrections at -1.38 eV per formula unit. The calculation puts the electronic total energy at -5.4385 eV per atom.

Lattice parameters (Å, degrees): 7.830 7.830 7.831 120.02 120.02 89.99
Each line ends with the local moment (μB).
Element x y z (fractional)
Mn: 0.625 0.375 0.750  3.34
Mn: 0.625 0.875 0.250  3.35
Mn: 0.625 0.375 0.250  3.34
Mn: 0.125 0.375 0.750  3.35
Ni: 0.250 0.750 0.500  -0.44
Ni: 0.000 0.000 0.000  -0.44
Te: 0.871 0.129 0.258  -0.12
Te: 0.379 0.621 0.242  -0.12
Te: 0.871 0.612 0.742  -0.12
Te: 0.871 0.129 0.742  -0.12
Te: 0.388 0.129 0.259  -0.12
Te: 0.379 0.138 0.759  -0.12
Te: 0.379 0.621 0.758  -0.12
Te: 0.862 0.621 0.241  -0.12

***

# 5
# La4YRu

La4YRu after structural relaxation (PBE, Alexandria via LeMat-Bulk).

Values from the calculation:
Its symmetry is No. 12. The calculation puts the electronic total energy at -5.9878 eV per atom. For the formation energy, the calculation gives -80 meV/atom.

Lattice parameters (Å, degrees): 6.127 7.631 9.735 113.08 108.35 90.00
Element x y z (fractional)
La: 0.174 0.673 0.347
La: 0.386 0.140 0.772
La: 0.000 0.208 0.000
La: 0.614 0.368 0.228
La: 0.826 0.327 0.653
La: 0.614 0.860 0.228
La: 0.000 0.792 0.000
La: 0.386 0.632 0.772
Y: 0.802 0.801 0.602
Y: 0.198 0.199 0.398
Ru: 0.254 0.500 0.000
Ru: 0.746 0.500 0.000

***

# 6
# Li2BiPRh

Li2BiPRh after structural relaxation (PBE, Alexandria via LeMat-Bulk).

Values from the calculation:
Its symmetry is No. 123. The calculation puts the electronic total energy at -4.3953 eV per atom. For the formation energy, the calculation gives -301 meV/atom.

Lattice parameters (Å, degrees): 4.634 4.402 4.634 90.00 90.00 90.00
Element x y z (fractional)
P: 0.000 0.000 0.000
Rh: 0.000 0.500 0.000
Bi: 0.500 0.500 0.500
Li: 0.000 0.000 0.500
Li: 0.500 0.000 0.000

***

# 7
# Sr2CdPtPb

Sr2CdPtPb after structural relaxation (PBE, Alexandria via LeMat-Bulk).

Values from the calculation:
Its symmetry is No. 123. The calculation puts the electronic total energy at -3.2261 eV per atom. For the formation energy, the calculation gives -421 meV/atom.

Lattice parameters (Å, degrees): 5.788 5.788 5.222 90.00 90.00 90.00
Element x y z (fractional)
Pb: 0.500 0.500 0.500
Sr: 0.000 0.500 0.000
Sr: 0.500 0.000 0.000
Pt: 0.000 0.000 0.000
Cd: 0.000 0.000 0.500

***

# 8
# SrLi2SiPd

SrLi2SiPd after structural relaxation (PBE, Alexandria via LeMat-Bulk).

Values from the calculation:
Its symmetry is No. 123. The calculation puts the formation energy without anion corrections at -1.67 eV per formula unit. The calculation puts the electronic total energy at -3.5585 eV per atom.

Lattice parameters (Å, degrees): 4.799 4.799 4.729 90.00 90.00 90.00
Element x y z (fractional)
Sr: 0.500 0.500 0.500
Si: 0.000 0.000 0.000
Pd: 0.000 0.000 0.500
Li: 0.000 0.500 0.000
Li: 0.500 0.000 0.000

***

# 9
# Ce2DyAuN

Ce2DyAuN after structural relaxation (PBE, Alexandria via LeMat-Bulk).

Values from the calculation:
Its symmetry is No. 123. The calculation puts the formation energy without anion corrections at -4.09 eV per formula unit. The calculation puts the electronic total energy at -6.4319 eV per atom.

Lattice parameters (Å, degrees): 4.831 4.831 4.790 90.00 90.00 90.00
Each line ends with the local moment (μB).
Element x y z (fractional)
Ce: 0.000 0.500 0.000  0.50
Ce: 0.500 0.000 0.000  0.50
Dy: 0.000 0.000 0.500  0.04
Au: 0.500 0.500 0.500  0.01
N: 0.000 0.000 0.000  -0.03

***

# 10
# MnPb

MnPb after structural relaxation (PBE, Alexandria via LeMat-Bulk).

Values from the calculation:
Its symmetry is No. 164. The calculation puts the electronic total energy at -5.9887 eV per atom. For the formation energy, the calculation gives 450 meV/atom.

Lattice parameters (Å, degrees): 4.509 4.509 15.599 90.00 90.00 120.00
Each line ends with the local moment (μB).
Element x y z (fractional)
Pb: 0.000 0.000 0.313  -0.07
Pb: 0.000 0.000 0.687  -0.07
Pb: 0.333 0.667 0.567  0.05
Pb: 0.333 0.667 0.850  -0.11
Pb: 0.667 0.333 0.150  -0.11
Pb: 0.667 0.333 0.433  0.05
Mn: 0.000 0.000 0.081  3.42
Mn: 0.000 0.000 0.919  3.42
Mn: 0.333 0.667 0.228  3.75
Mn: 0.333 0.667 0.031  3.35
Mn: 0.667 0.333 0.969  3.35
Mn: 0.667 0.333 0.772  3.75

***

# 11
# La2VPb2

La2VPb2 after structural relaxation (PBE, Alexandria via LeMat-Bulk).

Values from the calculation:
Its symmetry is No. 139. The calculation puts the electronic total energy at -4.9497 eV per atom. For the formation energy, the calculation gives 328 meV/atom.

Lattice parameters (Å, degrees): 4.355 4.355 9.211 76.33 76.33 90.00
Each line ends with the local moment (μB).
Element x y z (fractional)
Pb: 0.750 0.250 0.500  0.01
Pb: 0.250 0.750 0.500  0.01
La: 0.405 0.405 0.189  0.08
La: 0.595 0.595 0.811  0.08
V: 0.000 0.000 0.000  2.81

***

# 12
# NaCa2Ni

NaCa2Ni after structural relaxation (PBE, Alexandria via LeMat-Bulk).

Values from the calculation:
Its symmetry is No. 123. The calculation puts the electronic total energy at -2.7826 eV per atom. For the formation energy, the calculation gives -7 meV/atom.

Lattice parameters (Å, degrees): 3.532 3.532 9.305 90.00 90.00 90.00
Element x y z (fractional)
Ni: 0.500 0.500 0.000
Ca: 0.000 0.000 0.824
Ca: 0.000 0.000 0.176
Na: 0.500 0.500 0.500

***

Q: Look up the electronic total energy of the seventh one.
A: -3.2261 eV per atom

***

Q: Which of these has the highest electronic total energy?
A: NaCa2Ni

***

Q: Among the records above, which one has the lowest electronic total energy?
A: Ce2DyAuN

***

Q: Which of these has the lowest electronic total energy?
A: Ce2DyAuN